Record 1
# GaGeRhO2 | Alexandria via LeMat-Bulk | GGA-PBE | optimized geometry
data_GaGeRhO2
_chemical_formula_sum 'Ga1 Ge1 Rh1 O2'
_symmetry_space_group_name_H-M 'P 1'
_symmetry_Int_Tables_number 1
_cell_length_a 3.8583
_cell_length_b 3.8583
_cell_length_c 5.2837
_cell_angle_alpha 90.00
_cell_angle_beta 90.00
_cell_angle_gamma 90.00
loop_
_symmetry_equiv_pos_as_xyz
'x,y,z'
loop_
_atom_site_label
_atom_site_type_symbol
_atom_site_fract_x
_atom_site_fract_y
_atom_site_fract_z
_atom_site_occupancy
Ga1 Ga 0.0000 0.0000 0.0000 1
Ge1 Ge 0.5000 0.5000 0.0000 1
Rh1 Rh 0.0000 0.0000 0.5000 1
O1 O 0.0000 0.5000 0.5000 1
O2 O 0.5000 0.0000 0.5000 1
# space group = No. 123


Record 2
# GaGeSb2O | Alexandria via LeMat-Bulk | GGA-PBE | optimized geometry
data_GaGeSb2O
_chemical_formula_sum 'Ga1 Ge1 Sb2 O1'
_symmetry_space_group_name_H-M 'P 1'
_symmetry_Int_Tables_number 1
_cell_length_a 5.6240
_cell_length_b 5.6240
_cell_length_c 3.5638
_cell_angle_alpha 90.00
_cell_angle_beta 90.00
_cell_angle_gamma 90.00
loop_
_symmetry_equiv_pos_as_xyz
'x,y,z'
loop_
_atom_site_label
_atom_site_type_symbol
_atom_site_fract_x
_atom_site_fract_y
_atom_site_fract_z
_atom_site_occupancy
Ga1 Ga 0.0000 0.0000 0.0000 1
Ge1 Ge 0.5000 0.5000 0.5000 1
Sb1 Sb 0.0000 0.5000 0.0000 1
Sb2 Sb 0.5000 0.0000 0.0000 1
O1 O 0.0000 0.0000 0.5000 1
# space group = No. 123


Record 3
# GaGeSbO6 | Alexandria via LeMat-Bulk | GGA-PBE | optimized geometry
data_GaGeSbO6
_chemical_formula_sum 'Ga2 Ge2 Sb2 O12'
_symmetry_space_group_name_H-M 'P 1'
_symmetry_Int_Tables_number 1
_cell_length_a 5.0328
_cell_length_b 5.0328
_cell_length_c 8.5521
_cell_angle_alpha 90.00
_cell_angle_beta 90.00
_cell_angle_gamma 120.00
loop_
_symmetry_equiv_pos_as_xyz
'x,y,z'
loop_
_atom_site_label
_atom_site_type_symbol
_atom_site_fract_x
_atom_site_fract_y
_atom_site_fract_z
_atom_site_occupancy
Ga1 Ga 0.3333 0.6667 0.2500 1
Ga2 Ga 0.6667 0.3333 0.7500 1
Ge1 Ge 0.0000 0.0000 0.0000 1
Ge2 Ge 0.0000 0.0000 0.5000 1
Sb1 Sb 0.3333 0.6667 0.7500 1
Sb2 Sb 0.6667 0.3333 0.2500 1
O1 O 0.0016 0.3293 0.1237 1
O2 O 0.0016 0.6723 0.3763 1
O3 O 0.3277 0.3293 0.3763 1
O4 O 0.3277 0.9984 0.1237 1
O5 O 0.3293 0.0016 0.6237 1
O6 O 0.3293 0.3277 0.8763 1
O7 O 0.6707 0.6723 0.1237 1
O8 O 0.6707 0.9984 0.3763 1
O9 O 0.6723 0.0016 0.8763 1
O10 O 0.6723 0.6707 0.6237 1
O11 O 0.9984 0.3277 0.6237 1
O12 O 0.9984 0.6707 0.8763 1
# space group = No. 163


Record 4
# Sc2GaGeO | Alexandria via LeMat-Bulk | GGA-PBE | optimized geometry
data_Sc2GaGeO
_chemical_formula_sum 'Sc2 Ga1 Ge1 O1'
_symmetry_space_group_name_H-M 'P 1'
_symmetry_Int_Tables_number 1
_cell_length_a 5.2572
_cell_length_b 5.2572
_cell_length_c 3.6949
_cell_angle_alpha 90.00
_cell_angle_beta 90.00
_cell_angle_gamma 90.00
loop_
_symmetry_equiv_pos_as_xyz
'x,y,z'
loop_
_atom_site_label
_atom_site_type_symbol
_atom_site_fract_x
_atom_site_fract_y
_atom_site_fract_z
_atom_site_occupancy
Sc1 Sc 0.0000 0.5000 0.0000 1
Sc2 Sc 0.5000 0.0000 0.0000 1
Ga1 Ga 0.0000 0.0000 0.0000 1
Ge1 Ge 0.5000 0.5000 0.5000 1
O1 O 0.0000 0.0000 0.5000 1
# space group = No. 123


Record 5
# SrGa2Ge2O8 | Alexandria via LeMat-Bulk | GGA-PBE | optimized geometry
data_SrGa2Ge2O8
_chemical_formula_sum 'Sr4 Ga8 Ge8 O32'
_symmetry_space_group_name_H-M 'P 1'
_symmetry_Int_Tables_number 1
_cell_length_a 8.6894
_cell_length_b 9.8100
_cell_length_c 9.3501
_cell_angle_alpha 90.00
_cell_angle_beta 90.53
_cell_angle_gamma 90.00
loop_
_symmetry_equiv_pos_as_xyz
'x,y,z'
loop_
_atom_site_label
_atom_site_type_symbol
_atom_site_fract_x
_atom_site_fract_y
_atom_site_fract_z
_atom_site_occupancy
Sr1 Sr 0.2490 0.0859 0.1138 1
Sr2 Sr 0.2490 0.4141 0.6138 1
Sr3 Sr 0.7510 0.5859 0.3862 1
Sr4 Sr 0.7510 0.9141 0.8862 1
Ga1 Ga 0.0687 0.6937 0.0549 1
Ga2 Ga 0.0687 0.8063 0.5549 1
Ga3 Ga 0.4329 0.0771 0.7324 1
Ga4 Ga 0.4329 0.4229 0.2324 1
Ga5 Ga 0.5671 0.5771 0.7676 1
Ga6 Ga 0.5671 0.9229 0.2676 1
Ga7 Ga 0.9313 0.1937 0.4451 1
Ga8 Ga 0.9313 0.3063 0.9451 1
Ge1 Ge 0.0620 0.0807 0.7406 1
Ge2 Ge 0.0620 0.4193 0.2406 1
Ge3 Ge 0.4402 0.6994 0.0589 1
Ge4 Ge 0.4402 0.8006 0.5589 1
Ge5 Ge 0.5598 0.1994 0.4411 1
Ge6 Ge 0.5598 0.3006 0.9411 1
Ge7 Ge 0.9380 0.5807 0.7594 1
Ge8 Ge 0.9380 0.9193 0.2594 1
O1 O 0.0175 0.0781 0.3089 1
O2 O 0.0175 0.4219 0.8089 1
O3 O 0.0658 0.6269 0.6199 1
O4 O 0.0658 0.8731 0.1199 1
O5 O 0.0697 0.1989 0.5988 1
O6 O 0.0697 0.3010 0.0988 1
O7 O 0.2452 0.0761 0.8274 1
O8 O 0.2452 0.4239 0.3274 1
O9 O 0.2610 0.6357 0.0037 1
O10 O 0.2610 0.8643 0.5037 1
O11 O 0.4258 0.2008 0.5835 1
O12 O 0.4258 0.2992 0.0835 1
O13 O 0.4327 0.6292 0.6197 1
O14 O 0.4327 0.8708 0.1197 1
O15 O 0.4797 0.0908 0.3064 1
O16 O 0.4797 0.4092 0.8064 1
O17 O 0.5203 0.5908 0.1936 1
O18 O 0.5203 0.9092 0.6936 1
O19 O 0.5673 0.1292 0.8803 1
O20 O 0.5673 0.3708 0.3803 1
O21 O 0.5742 0.7008 0.9165 1
O22 O 0.5742 0.7992 0.4165 1
O23 O 0.7390 0.1357 0.4963 1
O24 O 0.7390 0.3643 0.9963 1
O25 O 0.7548 0.5761 0.6726 1
O26 O 0.7548 0.9239 0.1726 1
O27 O 0.9303 0.6990 0.9012 1
O28 O 0.9303 0.8010 0.4012 1
O29 O 0.9342 0.1269 0.8801 1
O30 O 0.9342 0.3731 0.3801 1
O31 O 0.9825 0.5781 0.1911 1
O32 O 0.9825 0.9219 0.6911 1
# space group = No. 14


Record 6
# Sr2GaGeO6 | Alexandria via LeMat-Bulk | GGA-PBE | optimized geometry
data_Sr2GaGeO6
_chemical_formula_sum 'Sr4 Ga2 Ge2 O12'
_symmetry_space_group_name_H-M 'P 1'
_symmetry_Int_Tables_number 1
_cell_length_a 9.9510
_cell_length_b 9.9510
_cell_length_c 9.9510
_cell_angle_alpha 32.38
_cell_angle_beta 32.38
_cell_angle_gamma 32.38
loop_
_symmetry_equiv_pos_as_xyz
'x,y,z'
loop_
_atom_site_label
_atom_site_type_symbol
_atom_site_fract_x
_atom_site_fract_y
_atom_site_fract_z
_atom_site_occupancy
Sr1 Sr 0.1252 0.1252 0.1252 1
Sr2 Sr 0.2860 0.2860 0.2860 1
Sr3 Sr 0.7140 0.7140 0.7140 1
Sr4 Sr 0.8748 0.8748 0.8748 1
Ga1 Ga 0.0000 0.0000 0.0000 1
Ga2 Ga 0.5000 0.5000 0.5000 1
Ge1 Ge 0.4084 0.4084 0.4084 1
Ge2 Ge 0.5916 0.5916 0.5916 1
O1 O 0.1420 0.6100 0.6100 1
O2 O 0.2084 0.2084 0.7058 1
O3 O 0.2084 0.7058 0.2084 1
O4 O 0.2942 0.7916 0.7916 1
O5 O 0.3900 0.3900 0.8580 1
O6 O 0.3900 0.8580 0.3900 1
O7 O 0.6100 0.1420 0.6100 1
O8 O 0.6100 0.6100 0.1420 1
O9 O 0.7058 0.2084 0.2084 1
O10 O 0.7916 0.2942 0.7916 1
O11 O 0.7916 0.7916 0.2942 1
O12 O 0.8580 0.3900 0.3900 1
# space group = No. 166


What did we get for formation energy from raw total energies? Answer: -0.08; 0.01; -1.45; -0.18; -2.03; -2.06 eV/atom, in the order shown.